VPO4 GGA+U relaxed; calculated density = 3.50 Mg/m³; E = -7.660 eV/atom; total moment = 2.000 μB per formula unit; space-group type = Pnma (62); N(E_F) = 0.00 states/eV/f.u.
1.0
-1.057 1.018 4.542
-4.983 -7.200 0.454
5.241 -3.501 2.005
O P V
16 4 4
direct
0.786 0.117 0.250
0.214 0.883 0.750
0.949 0.144 0.750
0.833 0.378 0.556
0.051 0.856 0.250
0.714 0.617 0.250
0.167 0.622 0.444
0.667 0.878 0.556
0.167 0.622 0.056
0.449 0.356 0.250
0.833 0.378 0.944
0.551 0.644 0.750
0.286 0.383 0.750
0.333 0.122 0.444
0.667 0.878 0.944
0.333 0.122 0.056
0.524 0.824 0.750
0.476 0.176 0.250
0.024 0.676 0.250
0.976 0.324 0.750
0.000 0.000 0.500
0.500 0.500 0.000
0.500 0.500 0.500
0.000 0.000 0.000